# Ce2PmAl | the Alexandria database | PBE-GGA | relaxed
data_Ce2PmAl
_chemical_formula_sum 'Ce2 Pm1 Al1'
_cell_length_a 5.374
_cell_length_b 5.374
_cell_length_c 5.374
_cell_angle_alpha 60.00
_cell_angle_beta 60.00
_cell_angle_gamma 60.00
_space_group_name_H-M_alt 'P 1'
_space_group_IT_number 1
loop_
_space_group_symop_operation_xyz
'x,y,z'
loop_
_atom_site_label
_atom_site_type_symbol
_atom_site_fract_x
_atom_site_fract_y
_atom_site_fract_z
_atom_site_occupancy
Ce1 Ce 0.250 0.250 0.250 1
Ce2 Ce 0.750 0.750 0.750 1
Pm1 Pm 0.000 0.000 0.000 1
Al1 Al 0.500 0.500 0.500 1
# DFT formation energy   0.049 eV/atom
# Fermi-level density of states   12.28 states/eV per cell
# Energy relative to the lowest polymorph listed for this composition   0.222 eV per atom
# Symmetry   Fm-3m, No. 225



# SrAl4Se | the Alexandria database | PBE-GGA | relaxed
data_SrAl4Se
_chemical_formula_sum 'Sr1 Al4 Se1'
_cell_length_a 5.724
_cell_length_b 5.724
_cell_length_c 5.724
_cell_angle_alpha 60.00
_cell_angle_beta 60.00
_cell_angle_gamma 60.00
_space_group_name_H-M_alt 'P 1'
_space_group_IT_number 1
loop_
_space_group_symop_operation_xyz
'x,y,z'
loop_
_atom_site_label
_atom_site_type_symbol
_atom_site_fract_x
_atom_site_fract_y
_atom_site_fract_z
_atom_site_occupancy
Sr1 Sr 0.000 0.000 0.000 1
Al1 Al 0.122 0.626 0.626 1
Al2 Al 0.626 0.122 0.626 1
Al3 Al 0.626 0.626 0.122 1
Al4 Al 0.626 0.626 0.626 1
Se1 Se 0.250 0.250 0.250 1
# Formation energy from raw total energies   -45 meV/atom
# Fermi-level density of states   3.97 states/eV per cell
# Symmetry   F-43m, No. 216



> Number 1 is which compound?

Ce2PmAl



> Fermi-level density of states of number 2 (SrAl4Se)?

3.97 states/eV per cell



> Which of these has the lowest Fermi-level density of states?

SrAl4Se



Copy entry 1 word for word.
# Ce2PmAl | the Alexandria database | PBE-GGA | relaxed
data_Ce2PmAl
_chemical_formula_sum 'Ce2 Pm1 Al1'
_cell_length_a 5.374
_cell_length_b 5.374
_cell_length_c 5.374
_cell_angle_alpha 60.00
_cell_angle_beta 60.00
_cell_angle_gamma 60.00
_space_group_name_H-M_alt 'P 1'
_space_group_IT_number 1
loop_
_space_group_symop_operation_xyz
'x,y,z'
loop_
_atom_site_label
_atom_site_type_symbol
_atom_site_fract_x
_atom_site_fract_y
_atom_site_fract_z
_atom_site_occupancy
Ce1 Ce 0.250 0.250 0.250 1
Ce2 Ce 0.750 0.750 0.750 1
Pm1 Pm 0.000 0.000 0.000 1
Al1 Al 0.500 0.500 0.500 1
# DFT formation energy   0.049 eV/atom
# Fermi-level density of states   12.28 states/eV per cell
# Energy relative to the lowest polymorph listed for this composition   0.222 eV per atom
# Symmetry   Fm-3m, No. 225